Computed, not measured: La2InTe after structural relaxation at the PBE level of DFT.

## Properties
Space-group type: R-3m
E_form (uncorrected): -0.96 eV per atom
Offset from the most stable computed form: 32 kJ/mol of formula units
Total DFT energy (no corrections): -4.897 eV/atom

Lattice parameters (Å, degrees): 4.421 4.421 24.655 90.00 90.00 120.00
Fractional coordinates of all 12 atoms:
La 0.000 0.000 0.248
La 0.000 0.000 0.752
La 0.333 0.667 0.419
La 0.333 0.667 0.915
La 0.667 0.333 0.085
La 0.667 0.333 0.581
In 0.000 0.000 0.000
In 0.333 0.667 0.667
In 0.667 0.333 0.333
Te 0.000 0.000 0.500
Te 0.333 0.667 0.167
Te 0.667 0.333 0.833

Computed, not measured: Li5As2Pd12 after structural relaxation at the PBE level of DFT.

## Properties
DFT formation energy: -0.384 eV per atom
Space-group type: C2/m
Total DFT energy (no corrections): -4.657 eV/atom

Lattice parameters (Å, degrees): 7.888 7.888 5.118 99.32 99.32 67.26
Fractional coordinates of all 19 atoms:
Li 0.000 0.000 0.000
Li 0.218 0.218 0.026
Li 0.317 0.317 0.595
Li 0.683 0.683 0.405
Li 0.782 0.782 0.974
As 0.250 0.750 0.500
As 0.750 0.250 0.500
Pd 0.064 0.548 0.281
Pd 0.105 0.105 0.470
Pd 0.164 0.636 0.854
Pd 0.364 0.836 0.146
Pd 0.450 0.450 0.224
Pd 0.452 0.936 0.719
Pd 0.548 0.064 0.281
Pd 0.550 0.550 0.776
Pd 0.636 0.164 0.854
Pd 0.836 0.364 0.146
Pd 0.895 0.895 0.530
Pd 0.936 0.452 0.719

Computed, not measured: NpCdSe2 after structural relaxation at the PBE level of DFT.

## Properties
Space-group type: R3m
E_form (uncorrected): -0.68 eV per atom
Offset from the most stable computed form: 0 kJ/mol of formula units
Total DFT energy (no corrections): -5.883 eV/atom

Lattice parameters (Å, degrees): 4.285 4.285 20.669 90.00 90.00 120.00
Fractional coordinates of all 12 atoms:
Np 0.000 0.000 0.000
Np 0.333 0.667 0.667
Np 0.667 0.333 0.333
Cd 0.000 0.000 0.836
Cd 0.333 0.667 0.503
Cd 0.667 0.333 0.169
Se 0.000 0.000 0.410
Se 0.000 0.000 0.602
Se 0.333 0.667 0.077
Se 0.333 0.667 0.269
Se 0.667 0.333 0.743
Se 0.667 0.333 0.935

Computed, not measured: ScSnPd after structural relaxation at the PBE level of DFT.

## Properties
DFT formation energy: -0.848 eV per atom
Space-group type: P-62c
Total DFT energy (no corrections): -6.024 eV/atom

Lattice parameters (Å, degrees): 7.536 7.536 7.218 90.00 90.00 120.00
Fractional coordinates of all 18 atoms:
Sc 0.015 0.401 0.250
Sc 0.386 0.985 0.250
Sc 0.401 0.015 0.750
Sc 0.599 0.614 0.250
Sc 0.614 0.599 0.750
Sc 0.985 0.386 0.750
Sn 0.000 0.725 0.000
Sn 0.000 0.725 0.500
Sn 0.275 0.275 0.000
Sn 0.275 0.275 0.500
Sn 0.725 0.000 0.000
Sn 0.725 0.000 0.500
Pd 0.000 0.000 0.250
Pd 0.000 0.000 0.750
Pd 0.333 0.667 0.532
Pd 0.333 0.667 0.968
Pd 0.667 0.333 0.032
Pd 0.667 0.333 0.468

> The highest total DFT energy (no corrections) belongs to which entry?

Li5As2Pd12

> Which of these has the highest total DFT energy (no corrections)?

Li5As2Pd12